# 1
{"formula": "Pt2Pb3", "functional": "GGA-PBEsol", "state": "optimized geometry", "total_energy_ev_per_cell": -26.24, "cell": [[3.9454, 0.0000, 0.0000], [1.9727, 3.4168, 0.0000], [1.9727, 1.1389, 8.9822]], "species": ["Pb", "Pt", "Pt", "Pb", "Pb"], "fractional_positions": [[0.0000, 0.0000, 0.0000], [0.6063, 0.6063, 0.1812], [0.3937, 0.3937, 0.8188], [0.2148, 0.2148, 0.3555], [0.7852, 0.7852, 0.6445]]}


# 2
{"formula": "BaMg2Pb", "functional": "GGA-PBEsol", "state": "optimized geometry", "total_energy_ev_per_cell": -9.99, "cell": [[3.7971, 0.0000, 0.0000], [0.0000, 4.3205, 0.0000], [0.0000, 0.0000, 7.5968]], "species": ["Ba", "Pb", "Mg", "Mg"], "fractional_positions": [[0.5000, 0.5000, 0.5000], [0.5000, 0.5000, 0.0000], [0.0000, 0.0000, 0.7993], [0.0000, 0.0000, 0.2007]]}


# 3
{"formula": "MnAlAg2", "functional": "GGA-PBEsol", "state": "optimized geometry", "total_energy_ev_per_cell": -20.05, "cell": [[2.8022, 0.0000, -0.0594], [0.0000, 4.2013, 0.0000], [-1.2508, 0.0000, 5.2900]], "species": ["Mn", "Al", "Ag", "Ag"], "fractional_positions": [[0.4198, 0.5000, 0.7192], [0.8238, 0.0000, 0.5251], [0.0710, 0.0000, 0.0118], [0.6854, 0.5000, 0.2439]]}


# 4
{"formula": "LaCd2Pb", "functional": "GGA-PBEsol", "state": "optimized geometry", "total_energy_ev_per_cell": -13.12, "cell": [[4.7015, 0.0000, 0.0000], [0.0000, 4.7015, 0.0000], [-2.3508, -2.3508, 4.7510]], "species": ["Cd", "Pb", "La", "Cd"], "fractional_positions": [[0.7500, 0.2500, 0.5000], [0.5000, 0.5000, 0.0000], [0.0000, 0.0000, 0.0000], [0.2500, 0.7500, 0.5000]]}


# 5
{"formula": "RbMgNiS2", "functional": "GGA-PBEsol", "state": "optimized geometry", "formation_energy_uncorrected_ev_per_atom": 0.097, "cell": [[-1.4250, -3.5129, -2.8619], [4.4633, -2.0127, 0.2481], [-1.3962, -2.6148, 3.9048]], "species": ["Rb", "S", "Mg", "Ni", "S"], "fractional_positions": [[0.5000, 0.5000, 0.5000], [0.0000, 0.0000, 0.5000], [0.0000, 0.0000, 0.0000], [0.5000, 0.0000, 0.0000], [0.0000, 0.5000, 0.0000]]}


# 6
{"formula": "Sn2H12Cl6O7", "functional": "GGA-PBEsol", "state": "optimized geometry", "total_energy_ev_per_cell": -252.20, "cell": [[6.9996, -0.2594, 0.6495], [2.9273, 6.3634, 0.6495], [2.8200, 1.7340, 17.7452]], "species": ["O", "Sn", "O", "H", "H", "Cl", "H", "H", "H", "H", "H", "O", "Cl", "Cl", "O", "O", "Cl", "H", "H", "O", "O", "Cl", "H", "H", "Cl", "H", "H", "H", "H", "H", "H", "O", "H", "Cl", "Cl", "Cl", "Sn", "H", "O", "Cl", "H", "O", "Cl", "H", "O", "Cl", "O", "H", "O", "Sn", "Sn", "H", "O", "H"], "fractional_positions": [[0.0480, 0.9520, 0.2500], [0.3995, 0.1071, 0.9192], [0.8063, 0.0354, 0.3826], [0.1036, 0.9810, 0.6706], [0.8964, 0.0190, 0.3294], [0.5564, 0.3730, 0.8921], [0.9810, 0.1036, 0.1706], [0.0552, 0.8050, 0.2547], [0.0190, 0.8964, 0.8294], [0.1473, 0.1950, 0.5677], [0.8527, 0.8050, 0.4323], [0.9646, 0.1937, 0.1174], [0.3730, 0.5564, 0.3921], [0.0142, 0.5103, 0.2929], [0.0354, 0.8063, 0.8826], [0.8747, 0.6579, 0.4629], [0.4897, 0.9858, 0.2071], [0.8252, 0.1602, 0.0741], [0.7632, 0.3109, 0.5005], [0.9520, 0.0480, 0.7500], [0.1937, 0.9646, 0.6174], [0.5103, 0.0142, 0.7929], [0.3430, 0.9224, 0.6226], [0.8050, 0.0552, 0.7547], [0.0589, 0.3531, 0.8989], [0.1950, 0.9448, 0.2453], [0.2368, 0.6891, 0.4995], [0.0776, 0.6570, 0.8774], [0.8050, 0.8527, 0.9323], [0.9448, 0.1950, 0.7453], [0.8398, 0.1748, 0.4259], [0.8767, 0.2559, 0.4578], [0.6891, 0.2368, 0.9995], [0.6270, 0.4436, 0.6079], [0.3531, 0.0589, 0.3989], [0.4436, 0.6270, 0.1079], [0.1071, 0.3995, 0.4192], [0.3109, 0.7632, 0.0005], [0.3421, 0.1253, 0.0371], [0.9858, 0.4897, 0.7071], [0.1950, 0.1473, 0.0677], [0.1253, 0.3421, 0.5371], [0.6469, 0.9411, 0.6011], [0.6570, 0.0776, 0.3774], [0.2559, 0.8767, 0.9578], [0.9411, 0.6469, 0.1011], [0.6579, 0.8747, 0.9629], [0.1748, 0.8398, 0.9259], [0.7441, 0.1233, 0.0422], [0.6005, 0.8929, 0.0808], [0.8929, 0.6005, 0.5808], [0.9224, 0.3430, 0.1226], [0.1233, 0.7441, 0.5422], [0.1602, 0.8252, 0.5741]]}


Q: Which formula does entry 4 have?
A: LaCd2Pb


Q: What is the formula in the second record?
A: BaMg2Pb